(1)
Entry from Alexandria: an optimized crystal structure of NbSiSbH (PBE-GGA).

The relative energy among the computed polymorphs is 79.2 meV per atom. Its total moment is 0.000 μB/f.u.

The structure belongs to space group Amm2 (No. 38); the cell edges are 3.5661, 3.3035 and 11.7034 Å and the angles 90.00°, 90.00° and 90.00°. The inequivalent atoms are Nb at (0.0000, 0.0000, 0.0000), Si at (0.5000, 0.0000, 0.4112), Sb at (0.5000, 0.0000, 0.1903) and H at (0.0000, 0.0000, 0.5796).



(2)
Entry from Alexandria: an optimized crystal structure of NbSiSbH (PBE-GGA).

The relative energy among the computed polymorphs is 83.1 meV per atom. Its total moment is 0.000 μB/f.u.

The structure belongs to space group P1 (No. 1); the cell edges are 2.9854, 3.3406 and 8.7297 Å and the angles 92.57°, 99.22° and 116.53°. The inequivalent atoms are Nb at (0.0000, 0.0000, 0.0000), Si at (0.5438, 0.2880, 0.7852), Sb at (0.4806, 0.7149, 0.2636) and H at (0.4408, 0.2470, 0.6095).



(3)
Entry from Alexandria: an optimized crystal structure of NbSiSbH (PBE-GGA).

The relative energy among the computed polymorphs is 76.2 meV per atom. Its total moment is 0.000 μB/f.u.

The structure belongs to space group Fmm2 (No. 42); the cell edges are 5.0377, 5.0559 and 9.3718 Å and the angles 90.00°, 90.00° and 90.00°. The inequivalent atoms are Nb at (0.0000, 0.0000, 0.0000), Si at (0.0000, 0.0000, 0.6080), Sb at (0.0000, 0.0000, 0.3168) and H at (0.0000, 0.0000, 0.7858).



(4)
Entry from Alexandria: an optimized crystal structure of NbSiSbH (PBE-GGA).

The relative energy among the computed polymorphs is 115.8 meV per atom. Its total moment is 0.000 μB/f.u.

The structure belongs to space group Cm (No. 8); the cell edges are 5.0770, 3.3538 and 7.9133 Å and the angles 90.00°, 103.32° and 90.00°. The inequivalent atoms are Nb at (0.0000, 0.0000, 0.0000), Si at (0.2687, 0.0000, 0.7537), Sb at (0.1505, 0.0000, 0.4122) and H at (0.1862, 0.5000, 0.1071).



(5)
Entry from Alexandria: an optimized crystal structure of NbSiSbH (PBE-GGA).

The relative energy among the computed polymorphs is 0.0 meV per atom. Its total moment is 0.000 μB/f.u.

The structure belongs to space group P4mm (No. 99); the cell edges are 3.3634, 3.3634 and 5.6665 Å and the angles 90.00°, 90.00° and 90.00°. The inequivalent atoms are Nb at (0.0000, 0.0000, 0.0000), Si at (0.5000, 0.5000, 0.2107), Sb at (0.5000, 0.5000, 0.6829) and H at (0.0000, 0.0000, 0.3180).



(6)
Entry from Alexandria: an optimized crystal structure of NbSiSbH (PBE-GGA).

The relative energy among the computed polymorphs is 50.7 meV per atom. Its total moment is 0.000 μB/f.u.

The structure belongs to space group Pm (No. 6); the cell edges are 3.5571, 3.4217 and 5.2869 Å and the angles 90.00°, 99.42° and 90.00°. The inequivalent atoms are Nb at (0.0000, 0.0000, 0.0000), Si at (0.4584, 0.5000, 0.8124), Sb at (0.6153, 0.0000, 0.4343) and H at (0.0581, 0.5000, 0.1752).



(7)
Entry from Alexandria: an optimized crystal structure of NbSiSbH (PBE-GGA).

The relative energy among the computed polymorphs is 167.7 meV per atom. Its total moment is 0.000 μB/f.u.

The structure belongs to space group P1 (No. 1); the cell edges are 3.6123, 3.7764 and 5.2964 Å and the angles 83.20°, 72.80° and 88.88°. The inequivalent atoms are Nb at (0.0000, 0.0000, 0.0000), Si at (0.5087, 0.4943, 0.9955), Sb at (0.3109, 0.9371, 0.4420) and H at (0.9099, 0.3156, 0.7325).



(8)
Entry from Alexandria: an optimized crystal structure of Sr2NbSbH (PBE-GGA).

Its total moment is 0.000 μB/f.u.

The structure belongs to space group P4/mmm (No. 123); the cell edges are 4.5589, 4.5589 and 5.5365 Å and the angles 90.00°, 90.00° and 90.00°. The inequivalent atoms are Sr at (0.0000, 0.5000, 0.0000), Nb at (0.0000, 0.0000, 0.5000), Sb at (0.5000, 0.5000, 0.5000) and H at (0.5000, 0.5000, 0.0000).



(9)
Entry from Alexandria: an optimized crystal structure of TaNb2SbH (PBE-GGA).

Its total moment is 0.000 μB/f.u.

The structure belongs to space group P4/mmm (No. 123); the cell edges are 4.3241, 4.3241 and 4.1062 Å and the angles 90.00°, 90.00° and 90.00°. The inequivalent atoms are Ta at (0.0000, 0.0000, 0.0000), Nb at (0.0000, 0.5000, 0.5000), Sb at (0.5000, 0.5000, 0.0000) and H at (0.0000, 0.0000, 0.5000).



(10)
Entry from Alexandria: an optimized crystal structure of Ta2NbSbH (PBE-GGA).

Its total moment is 0.000 μB/f.u.

The structure belongs to space group P4/mmm (No. 123); the cell edges are 4.2051, 4.2051 and 4.3340 Å and the angles 90.00°, 90.00° and 90.00°. The inequivalent atoms are Ta at (0.0000, 0.5000, 0.0000), Nb at (0.0000, 0.0000, 0.5000), Sb at (0.5000, 0.5000, 0.5000) and H at (0.0000, 0.0000, 0.0000).



(11)
Entry from Alexandria: an optimized crystal structure of NbTcSb2H (PBE-GGA).

Its total moment is 0.000 μB/f.u.

The structure belongs to space group P4/mmm (No. 123); the cell edges are 4.8016, 4.8016 and 3.4294 Å and the angles 90.00°, 90.00° and 90.00°. The inequivalent atoms are Nb at (0.0000, 0.0000, 0.0000), Tc at (0.5000, 0.5000, 0.0000), Sb at (0.0000, 0.5000, 0.5000) and H at (0.5000, 0.5000, 0.5000).



(12)
Entry from Alexandria: an optimized crystal structure of Nb7Sb2TeH2 (PBE-GGA).

Its total moment is 0.000 μB/f.u.

The structure belongs to space group C2/m (No. 12); the cell edges are 6.0656, 6.0693 and 11.4594 Å and the angles 90.00°, 105.22° and 90.00°. The inequivalent atoms are Nb at (0.0000, 0.0000, 0.0000), Nb at (0.1556, 0.2504, 0.8092), Nb at (0.1826, 0.0000, 0.3668), Sb at (0.1856, 0.5000, 0.3732), Te at (0.0000, 0.5000, 0.0000) and H at (0.0918, 0.0000, 0.1850).



no.,raw total energy (eV per cell)
1,-46.02
2,-22.99
3,-92.09
4,-45.73
5,-23.33
6,-23.12
7,-22.66
8,-19.76
9,-39.98
10,-41.39
11,-31.43
12,-179.67